Run i
The following is a PBE-GGA calculation of a geometry-optimized Sr3MgZn structure, from Alexandria.

a b c (Å): 6.104 6.104 6.104
angles (deg): 90.00 90.00 90.00
Atoms (fractional coordinates):
Sr 0.000 0.500 0.000
Sr 0.000 0.000 0.500
Sr 0.500 0.000 0.000
Zn 0.000 0.000 0.000
Mg 0.500 0.500 0.500

Total moment (μB per atom): 0.0000

Run ii
The following is a PBE-GGA calculation of a geometry-optimized Sr3MgZn structure, from Alexandria.

a b c (Å): 5.770 5.769 11.600
angles (deg): 90.00 75.60 90.00
Atoms (fractional coordinates):
Sr 0.752 0.250 0.145
Sr 0.395 0.250 0.857
Sr 0.574 0.250 0.501
Sr 0.253 0.750 0.143
Sr 0.896 0.750 0.855
Sr 0.074 0.750 0.499
Mg 0.483 0.750 0.681
Mg 0.165 0.250 0.319
Zn 0.665 0.750 0.318
Zn 0.983 0.250 0.682

Total moment (μB per atom): 0.0000

It is run ii that is most stable; the runner-up trails by 16.7 kJ/mol of atoms.

Run i
The following is a PBE-GGA calculation of a geometry-optimized SrMg2Zr structure, from Alexandria.

a b c (Å): 3.341 4.807 6.990
angles (deg): 90.00 90.00 90.00
Atoms (fractional coordinates):
Mg 0.000 0.000 0.985
Mg 0.500 0.500 0.225
Sr 0.000 0.000 0.496
Zr 0.500 0.500 0.795

Total moment (μB per atom): 0.0000

Run ii
The following is a PBE-GGA calculation of a geometry-optimized SrMg2Zr structure, from Alexandria.

a b c (Å): 8.656 8.656 6.939
angles (deg): 51.41 51.41 90.00
Atoms (fractional coordinates):
Sr 0.500 0.500 0.000
Sr 0.250 0.750 0.500
Mg 0.654 0.125 0.250
Mg 0.096 0.625 0.250
Mg 0.375 0.346 0.750
Mg 0.875 0.904 0.750
Zr 0.000 0.000 0.000
Zr 0.750 0.250 0.500

Total moment (μB per atom): 0.4636

Run iii
The following is a PBE-GGA calculation of a geometry-optimized SrMg2Zr structure, from Alexandria.

a b c (Å): 6.372 6.372 6.372
angles (deg): 144.99 129.13 63.25
Atoms (fractional coordinates):
Mg 0.017 0.017 0.000
Mg 0.483 0.483 0.000
Sr 0.750 0.250 0.500
Zr 0.250 0.750 0.500

Total moment (μB per atom): 0.3268

Run iv
The following is a PBE-GGA calculation of a geometry-optimized SrMg2Zr structure, from Alexandria.

a b c (Å): 3.413 3.413 9.558
angles (deg): 90.00 90.00 90.00
Atoms (fractional coordinates):
Mg 0.000 0.000 0.998
Mg 0.500 0.500 0.207
Sr 0.000 0.000 0.501
Zr 0.500 0.500 0.794

Total moment (μB per atom): 0.0000

It is run iv that is most stable; the runner-up trails by 8.0 kJ/mol of atoms.

Run i
The following is a PBE-GGA calculation of a geometry-optimized SrMg2Zr structure, from Alexandria.

a b c (Å): 6.326 6.326 5.799
angles (deg): 69.37 69.37 31.00
Atoms (fractional coordinates):
Mg 0.011 0.011 0.037
Mg 0.728 0.728 0.726
Sr 0.488 0.488 0.544
Zr 0.272 0.272 0.192

Total moment (μB per atom): 0.3417

Run ii
The following is a PBE-GGA calculation of a geometry-optimized SrMg2Zr structure, from Alexandria.

a b c (Å): 5.385 5.385 5.385
angles (deg): 60.00 60.00 60.00
Atoms (fractional coordinates):
Sr 0.000 0.000 0.000
Mg 0.250 0.250 0.250
Mg 0.750 0.750 0.750
Zr 0.500 0.500 0.500

Total moment (μB per atom): 0.0000

Run iii
The following is a PBE-GGA calculation of a geometry-optimized SrMg2Zr structure, from Alexandria.

a b c (Å): 5.414 5.414 5.414
angles (deg): 60.00 60.00 60.00
Atoms (fractional coordinates):
Mg 0.000 0.000 0.000
Mg 0.250 0.250 0.250
Sr 0.500 0.500 0.500
Zr 0.750 0.750 0.750

Total moment (μB per atom): 0.4511

Run iv
The following is a PBE-GGA calculation of a geometry-optimized SrMg2Zr structure, from Alexandria.

a b c (Å): 3.187 6.449 6.642
angles (deg): 54.93 90.00 90.00
Atoms (fractional coordinates):
Mg 0.000 0.000 0.000
Mg 0.500 0.500 0.000
Sr 0.500 0.500 0.500
Zr 0.000 0.000 0.500

Total moment (μB per atom): 0.0776

It is run ii that is most stable; the runner-up trails by 0.9 kJ/mol of atoms.

Run i
The following is a PBE-GGA calculation of a geometry-optimized SrMg2Zr structure, from Alexandria.

a b c (Å): 5.616 5.616 6.642
angles (deg): 82.82 82.82 33.80
Atoms (fractional coordinates):
Mg 0.992 0.992 0.049
Mg 0.508 0.508 0.451
Sr 0.750 0.750 0.750
Zr 0.250 0.250 0.250

Total moment (μB per atom): 0.0003

Run ii
The following is a PBE-GGA calculation of a geometry-optimized SrMg2Zr structure, from Alexandria.

a b c (Å): 5.958 5.958 5.958
angles (deg): 132.73 132.73 69.08
Atoms (fractional coordinates):
Mg 0.000 0.000 0.000
Mg 0.250 0.750 0.500
Sr 0.500 0.500 0.000
Zr 0.750 0.250 0.500

Total moment (μB per atom): 0.4287

Run iii
The following is a PBE-GGA calculation of a geometry-optimized SrMg2Zr structure, from Alexandria.

a b c (Å): 11.304 11.304 11.304
angles (deg): 17.41 17.41 17.41
Atoms (fractional coordinates):
Mg 0.008 0.008 0.008
Mg 0.492 0.492 0.492
Sr 0.250 0.250 0.250
Zr 0.750 0.750 0.750

Total moment (μB per atom): 0.1877

Run iv
The following is a PBE-GGA calculation of a geometry-optimized SrMg2Zr structure, from Alexandria.

a b c (Å): 3.595 3.595 8.590
angles (deg): 90.00 90.00 89.96
Atoms (fractional coordinates):
Mg 0.000 0.000 0.957
Mg 0.000 0.000 0.543
Sr 0.500 0.500 0.250
Zr 0.500 0.500 0.750

Total moment (μB per atom): 0.0000

It is run iv that is most stable; the runner-up trails by 15.9 kJ/mol of atoms.

Run i
The following is a PBE-GGA calculation of a geometry-optimized SrMg14Zr structure, from Alexandria.

a b c (Å): 6.607 6.607 10.379
angles (deg): 90.00 90.00 120.00
Atoms (fractional coordinates):
Sr 0.000 0.000 0.500
Mg 0.998 0.499 0.000
Mg 0.013 0.507 0.500
Mg 0.501 0.002 0.000
Mg 0.493 0.987 0.500
Mg 0.501 0.499 0.000
Mg 0.493 0.507 0.500
Mg 0.169 0.831 0.236
Mg 0.169 0.831 0.764
Mg 0.169 0.338 0.236
Mg 0.169 0.338 0.764
Mg 0.662 0.831 0.236
Mg 0.662 0.831 0.764
Mg 0.667 0.333 0.256
Mg 0.667 0.333 0.744
Zr 0.000 0.000 0.000

Total moment (μB per atom): 0.0000

Run ii
The following is a PBE-GGA calculation of a geometry-optimized SrMg14Zr structure, from Alexandria.

a b c (Å): 6.816 6.816 8.283
angles (deg): 90.00 90.00 90.08
Atoms (fractional coordinates):
Sr 0.375 0.625 0.500
Mg 0.875 0.125 0.000
Mg 0.375 0.625 0.000
Mg 0.375 0.125 0.500
Mg 0.375 0.125 0.000
Mg 0.875 0.625 0.500
Mg 0.875 0.625 0.000
Mg 0.112 0.362 0.240
Mg 0.112 0.362 0.760
Mg 0.638 0.888 0.240
Mg 0.638 0.888 0.760
Mg 0.639 0.361 0.240
Mg 0.639 0.361 0.760
Mg 0.111 0.889 0.240
Mg 0.111 0.889 0.760
Zr 0.875 0.125 0.500

Total moment (μB per atom): 0.0000

It is run ii that is most stable; the runner-up trails by 3.1 kJ/mol of atoms.

Run i
The following is a PBE-GGA calculation of a geometry-optimized Sr2MgZr2 structure, from Alexandria.

a b c (Å): 4.062 4.062 11.069
angles (deg): 79.43 79.43 90.00
Atoms (fractional coordinates):
Sr 0.398 0.398 0.204
Sr 0.602 0.602 0.796
Mg 0.000 0.000 0.000
Zr 0.750 0.250 0.500
Zr 0.250 0.750 0.500

Total moment (μB per atom): 0.0000

Run ii
The following is a PBE-GGA calculation of a geometry-optimized Sr2MgZr2 structure, from Alexandria.

a b c (Å): 9.867 9.867 3.442
angles (deg): 90.00 90.00 90.00
Atoms (fractional coordinates):
Sr 0.308 0.808 0.000
Sr 0.808 0.692 0.000
Sr 0.692 0.192 0.000
Sr 0.192 0.308 0.000
Mg 0.000 0.000 0.000
Mg 0.500 0.500 0.000
Zr 0.100 0.600 0.500
Zr 0.600 0.900 0.500
Zr 0.900 0.400 0.500
Zr 0.400 0.100 0.500

Total moment (μB per atom): 0.0000

It is run i that is most stable; the runner-up trails by 28.5 kJ/mol of atoms.

Run i
The following is a PBE-GGA calculation of a geometry-optimized Mg2Ta structure, from Alexandria.

a b c (Å): 7.024 7.024 4.020
angles (deg): 90.00 90.00 142.65
Atoms (fractional coordinates):
Mg 0.580 0.420 0.750
Mg 0.420 0.580 0.250
Mg 0.249 0.751 0.750
Mg 0.751 0.249 0.250
Ta 0.929 0.071 0.750
Ta 0.071 0.929 0.250

Total moment (μB per atom): 0.0000

Run ii
The following is a PBE-GGA calculation of a geometry-optimized Mg2Ta structure, from Alexandria.

a b c (Å): 2.995 2.995 7.722
angles (deg): 90.00 90.00 120.00
Atoms (fractional coordinates):
Mg 0.667 0.333 0.674
Mg 0.333 0.667 0.326
Ta 0.000 0.000 0.000

Total moment (μB per atom): 0.0001

It is run ii that is most stable; the runner-up trails by 6.3 kJ/mol of atoms.

Run i
The following is a PBE-GGA calculation of a geometry-optimized Mg2Ta structure, from Alexandria.

a b c (Å): 5.593 5.593 5.593
angles (deg): 150.81 135.63 54.00
Atoms (fractional coordinates):
Mg 0.669 0.669 0.000
Mg 0.331 0.331 0.000
Ta 0.000 0.000 0.000

Total moment (μB per atom): 0.0000

Run ii
The following is a PBE-GGA calculation of a geometry-optimized Mg2Ta structure, from Alexandria.

a b c (Å): 8.542 8.542 4.857
angles (deg): 90.00 90.00 160.02
Atoms (fractional coordinates):
Mg 0.617 0.383 0.750
Mg 0.943 0.057 0.750
Mg 0.057 0.943 0.250
Mg 0.383 0.617 0.250
Ta 0.274 0.726 0.750
Ta 0.726 0.274 0.250

Total moment (μB per atom): 0.0000

Run iii
The following is a PBE-GGA calculation of a geometry-optimized Mg2Ta structure, from Alexandria.

a b c (Å): 4.742 4.742 4.742
angles (deg): 60.00 60.00 60.00
Atoms (fractional coordinates):
Mg 0.750 0.750 0.750
Mg 0.250 0.250 0.250
Ta 0.000 0.000 0.000

Total moment (μB per atom): 0.0001

It is run ii that is most stable; the runner-up trails by 20.5 kJ/mol of atoms.